Li3Hg2Pb2 after structural relaxation, computed with PBE.

Summary:
The relative energy among the computed polymorphs comes out at 0.0000 eV per atom. The value obtained for the size of the total moment is 0.000 Bohr magnetons per cell. The calculation puts the total DFT energy (no corrections) at -2.207 eV/atom. The crystal system is triclinic. As for the symmetry: No. 2.

Lattice parameters (Å, degrees): 4.7485 4.7903 8.2465 73.42 73.47 60.82
Last column: nearest neighbours and their distance in Å.
Element x y z (fractional)
Li1 0.0000 0.0000 0.0000  6 Hg 2.95-2.98, 2 Pb 3.00, 4 Li 3.24-3.28
Li2 0.2582 0.2532 0.2255  4 Hg 2.81-2.86, 4 Pb 3.02-3.05
Li3 0.7418 0.7468 0.7745  4 Hg 2.81-2.86, 4 Pb 3.02-3.05
Hg1 0.3800 0.3796 0.8639  7 Li 2.81-2.98
Hg2 0.6200 0.6204 0.1361  7 Li 2.81-2.98
Pb1 0.1297 0.1347 0.6140  5 Li 3.00-3.05, 3 Pb 3.26-3.31, 1 Hg 3.34
Pb2 0.8703 0.8653 0.3860  5 Li 3.00-3.05, 3 Pb 3.26-3.31, 1 Hg 3.34

---

LiHgPb6 after structural relaxation, computed with PBE.

Summary:
The relative energy among the computed polymorphs comes out at 0.0000 eV per atom. The value obtained for the size of the total moment is 0.000 Bohr magnetons per cell. The calculation puts the total DFT energy (no corrections) at -3.092 eV/atom. The crystal system is orthorhombic. As for the symmetry: No. 65.

Lattice parameters (Å, degrees): 6.9794 6.9794 4.7824 90.00 90.00 92.07
Last column: nearest neighbours and their distance in Å.
Element x y z (fractional)
Li1 0.0000 0.0000 0.0000  12 Pb 3.44-3.49
Hg1 0.5000 0.5000 0.0000  12 Pb 3.37-3.49
Pb1 0.0000 0.5000 0.0000  8 Pb 3.40-3.47, 2 Hg 3.49, 2 Li 3.49
Pb2 0.2479 0.7521 0.5000  8 Pb 3.40-3.51, 2 Li 3.45, 2 Hg 3.48
Pb3 0.2550 0.2550 0.5000  2 Hg 3.37, 2 Li 3.44, 8 Pb 3.47-3.51
Pb4 0.5000 0.0000 0.0000  8 Pb 3.40-3.47, 2 Hg 3.49, 2 Li 3.49
Pb5 0.7450 0.7450 0.5000  2 Hg 3.37, 2 Li 3.44, 8 Pb 3.47-3.51
Pb6 0.7521 0.2479 0.5000  8 Pb 3.40-3.51, 2 Li 3.45, 2 Hg 3.48

---

Li2HgPb after structural relaxation, computed with PBE.

Summary:
The value obtained for the size of the total moment is 0.000 Bohr magnetons per cell. The calculation puts the total DFT energy (no corrections) at -2.238 eV/atom. The crystal system is monoclinic. As for the symmetry: No. 8.

Lattice parameters (Å, degrees): 5.4224 5.4224 4.8087 105.66 105.66 38.59
Last column: nearest neighbours and their distance in Å.
Element x y z (fractional)
Li1 0.0000 0.0000 0.0000  4 Hg 2.88-3.12, 3 Pb 2.93-3.05, 2 Li 3.20
Li2 0.2418 0.2418 0.6769  3 Hg 2.90-3.00, 4 Pb 2.99-3.01, 2 Li 3.20
Hg1 0.5094 0.5094 0.5368  7 Li 2.88-3.12
Pb1 0.7510 0.7510 0.1844  7 Li 2.93-3.05, 2 Hg 3.24

---

Li3HgPb2 after structural relaxation, computed with PBE.

Summary:
The relative energy among the computed polymorphs comes out at 0.0048 eV per atom. The value obtained for the size of the total moment is 0.000 Bohr magnetons per cell. The calculation puts the total DFT energy (no corrections) at -2.530 eV/atom. The crystal system is tetragonal. As for the symmetry: No. 123.

Lattice parameters (Å, degrees): 3.5139 3.5139 10.3101 90.00 90.00 90.00
Last column: nearest neighbours and their distance in Å.
Element x y z (fractional)
Li1 0.0000 0.0000 0.0000  8 Pb 3.07
Li2 0.0000 0.0000 0.3500  4 Hg 2.93, 4 Pb 3.08, 1 Li 3.09
Li3 0.0000 0.0000 0.6500  4 Hg 2.93, 4 Pb 3.08, 1 Li 3.09
Hg1 0.5000 0.5000 0.5000  8 Li 2.93
Pb1 0.5000 0.5000 0.1741  8 Li 3.07-3.08, 1 Hg 3.36
Pb2 0.5000 0.5000 0.8259  8 Li 3.07-3.08, 1 Hg 3.36

---

LiHg4Pb4 after structural relaxation, computed with PBE.

Summary:
The value obtained for the size of the total moment is 0.000 Bohr magnetons per cell. The calculation puts the total DFT energy (no corrections) at -2.048 eV/atom. The crystal system is tetragonal. As for the symmetry: No. 87.

Lattice parameters (Å, degrees): 8.5714 8.5714 8.5714 92.37 92.37 156.52
Last column: nearest neighbours and their distance in Å.
Element x y z (fractional)
Li1 0.0000 0.0000 0.0000  8 Hg 2.92
Hg1 0.3378 0.3885 0.7263  2 Li 2.92, 1 Pb 3.22
Hg2 0.3885 0.6622 0.0507  2 Li 2.92, 1 Pb 3.22
Hg3 0.6115 0.3378 0.9493  2 Li 2.92, 1 Pb 3.22
Hg4 0.6622 0.6115 0.2737  2 Li 2.92, 1 Pb 3.22
Pb1 0.0711 0.3365 0.4076  5 Hg 3.22-3.47, 6 Pb 3.46-3.49
Pb2 0.3365 0.9289 0.2654  5 Hg 3.22-3.47, 6 Pb 3.46-3.49
Pb3 0.6635 0.0711 0.7346  5 Hg 3.22-3.47, 6 Pb 3.46-3.49
Pb4 0.9289 0.6635 0.5924  5 Hg 3.22-3.47, 6 Pb 3.46-3.49

---

Li4HgPb after structural relaxation, computed with PBE.

Summary:
The relative energy among the computed polymorphs comes out at 0.0362 eV per atom. The value obtained for the size of the total moment is 0.000 Bohr magnetons per cell. The calculation puts the total DFT energy (no corrections) at -2.211 eV/atom. The crystal system is monoclinic. As for the symmetry: No. 6.

Lattice parameters (Å, degrees): 3.2047 4.6141 7.9330 90.00 90.03 90.00
Last column: nearest neighbours and their distance in Å.
Element x y z (fractional)
Li1 0.0000 0.0000 0.0000  3 Li 2.75-2.80, 2 Hg 2.96-2.97, 4 Pb 3.03
Li2 0.0003 0.5000 0.1895  4 Li 2.75-2.98, 4 Hg 2.98, 1 Pb 3.08
Li3 0.4977 0.5000 0.5048  2 Hg 2.76, 1 Pb 2.80, 6 Li 2.97-3.03
Li4 0.9995 0.0000 0.6468  5 Li 2.80-3.03, 2 Hg 3.08-3.09
Hg1 0.5002 0.0000 0.3145  10 Li 2.76-3.09
Pb1 0.4992 0.5000 0.8574  7 Li 2.80-3.08

---

Li3Hg12Pb after structural relaxation, computed with PBE.

Summary:
The value obtained for the size of the total moment is 0.000 Bohr magnetons per cell. The calculation puts the total DFT energy (no corrections) at -0.930 eV/atom. The crystal system is tetragonal. As for the symmetry: No. 123.

Lattice parameters (Å, degrees): 4.4764 4.4764 18.8699 90.00 90.00 90.00
Last column: nearest neighbours and their distance in Å.
Element x y z (fractional)
Li1 0.0000 0.0000 0.0000  12 Hg 3.17-3.19
Li2 0.0000 0.0000 0.2388  12 Hg 3.17-3.19
Li3 0.0000 0.0000 0.7612  12 Hg 3.17-3.19
Hg1 0.0000 0.5000 0.1202  4 Li 3.17-3.19, 8 Hg 3.17-3.19
Hg2 0.0000 0.5000 0.3595  8 Hg 3.17-3.47, 2 Li 3.19, 2 Pb 3.47
Hg3 0.0000 0.5000 0.6405  8 Hg 3.17-3.47, 2 Li 3.19, 2 Pb 3.47
Hg4 0.0000 0.5000 0.8798  4 Li 3.17-3.19, 8 Hg 3.17-3.19
Hg5 0.5000 0.0000 0.1202  4 Li 3.17-3.19, 8 Hg 3.17-3.19
Hg6 0.5000 0.0000 0.3595  8 Hg 3.17-3.47, 2 Li 3.19, 2 Pb 3.47
Hg7 0.5000 0.0000 0.6405  8 Hg 3.17-3.47, 2 Li 3.19, 2 Pb 3.47
Hg8 0.5000 0.0000 0.8798  4 Li 3.17-3.19, 8 Hg 3.17-3.19
Hg9 0.5000 0.5000 0.0000  4 Li 3.17, 8 Hg 3.19
Hg10 0.5000 0.5000 0.2397  4 Li 3.17, 8 Hg 3.18
Hg11 0.5000 0.5000 0.5000  4 Pb 3.17, 8 Hg 3.47
Hg12 0.5000 0.5000 0.7603  4 Li 3.17, 8 Hg 3.18
Pb1 0.0000 0.0000 0.5000  12 Hg 3.17-3.47

---

Li2Hg9Pb3 after structural relaxation, computed with PBE.

Summary:
The value obtained for the size of the total moment is 0.000 Bohr magnetons per cell. The calculation puts the total DFT energy (no corrections) at -1.326 eV/atom. The crystal system is orthorhombic. As for the symmetry: No. 71.

Lattice parameters (Å, degrees): 8.8913 8.8913 8.8913 148.74 98.77 89.58
Last column: nearest neighbours and their distance in Å.
Element x y z (fractional)
Li1 0.1614 0.0000 0.1614  8 Hg 2.94-3.04, 2 Pb 3.26
Li2 0.8386 0.0000 0.8386  8 Hg 2.94-3.04, 2 Pb 3.26
Hg1 0.0000 0.5000 0.5000  4 Hg 3.02, 4 Li 3.04
Hg2 0.0812 0.3656 0.7155  4 Hg 2.97-3.05, 2 Li 3.00
Hg3 0.2310 0.8635 0.3675  1 Li 2.94, 4 Hg 2.97-3.07
Hg4 0.3499 0.6344 0.7155  4 Hg 2.97-3.05, 2 Li 3.00
Hg5 0.4960 0.8635 0.6325  1 Li 2.94, 4 Hg 2.97-3.07
Hg6 0.5040 0.1365 0.3675  1 Li 2.94, 4 Hg 2.97-3.07
Hg7 0.6501 0.3656 0.2845  4 Hg 2.97-3.05, 2 Li 3.00
Hg8 0.7690 0.1365 0.6325  1 Li 2.94, 4 Hg 2.97-3.07
Hg9 0.9188 0.6344 0.2845  4 Hg 2.97-3.05, 2 Li 3.00
Pb1 0.2117 0.2117 0.0000  2 Li 3.26, 10 Hg 3.43-3.59, 1 Pb 3.64
Pb2 0.5000 0.5000 0.0000  12 Hg 3.33-3.70, 2 Pb 3.64
Pb3 0.7883 0.7883 0.0000  2 Li 3.26, 10 Hg 3.43-3.59, 1 Pb 3.64

---

Look up the size of the total moment of the fourth one.
0.000 Bohr magnetons per cell